[1]
DFT (PBE) results for a relaxed structure of Y2Cd3Ga2.

Cell and atoms, written as POSCAR:
```
Y2Cd3Ga2
1.0
2.125 -10.388 0.000
2.125 10.388 0.000
0.000 0.000 3.655
Y Cd Ga
2 3 2
Direct
0.163 0.837 0.000 Y
0.837 0.163 0.000 Y
0.000 0.000 0.000 Cd
0.427 0.573 0.500 Cd
0.573 0.427 0.500 Cd
0.285 0.715 0.500 Ga
0.715 0.285 0.500 Ga
```

Calculated values
The calculation puts the calculated formation energy at -0.389 eV per atom. Its space group is Cmmm. The density of states at the Fermi level is 2.31 states/eV/f.u. The calculation puts the volume at 161.3 Å³ per cell.

***

[2]
DFT (PBE) results for a relaxed structure of YCd2Ga2.

Cell and atoms, written as POSCAR:
```
YCd2Ga2
1.0
7.888 0.000 0.000
0.000 7.888 0.000
0.000 0.000 3.592
Y Cd Ga
2 4 4
Direct
0.000 0.000 0.000 Y
0.500 0.500 0.000 Y
0.172 0.328 0.500 Cd
0.328 0.828 0.500 Cd
0.672 0.172 0.500 Cd
0.828 0.672 0.500 Cd
0.125 0.625 0.000 Ga
0.375 0.125 0.000 Ga
0.625 0.875 0.000 Ga
0.875 0.375 0.000 Ga
```

Calculated values
The calculation puts the calculated formation energy at -0.165 eV per atom. Its space group is P4/mbm. The density of states at the Fermi level is 3.04 states/eV/f.u. The calculation puts the volume at 223.5 Å³ per cell.

***

[3]
DFT (PBE) results for a relaxed structure of YCdGa.

Cell and atoms, written as POSCAR:
```
YCdGa
1.0
4.659 0.000 0.000
-2.329 4.034 0.000
0.000 0.000 3.610
Y Cd Ga
1 1 1
Direct
0.000 0.000 0.000 Y
0.667 0.333 0.500 Cd
0.333 0.667 0.500 Ga
```

Calculated values
The calculation puts the calculated formation energy at -0.473 eV per atom. Its space group is P-6m2. The density of states at the Fermi level is 1.67 states/eV/f.u. The calculation puts the volume at 67.9 Å³ per cell.

***

[4]
DFT (PBE) results for a relaxed structure of YCdGa.

Cell and atoms, written as POSCAR:
```
YCdGa
1.0
4.499 0.000 0.000
0.000 4.499 0.000
0.000 0.000 7.094
Y Cd Ga
2 2 2
Direct
0.250 0.250 0.198 Y
0.750 0.750 0.802 Y
0.250 0.250 0.752 Cd
0.750 0.750 0.248 Cd
0.250 0.750 0.500 Ga
0.750 0.250 0.500 Ga
```

Calculated values
The calculation puts the calculated formation energy at -0.338 eV per atom. Its space group is P4/nmm. The density of states at the Fermi level is 1.44 states/eV/f.u. The calculation puts the volume at 143.6 Å³ per cell.

***

[5]
DFT (PBE) results for a relaxed structure of YCd4Ga2.

Cell and atoms, written as POSCAR:
```
YCd4Ga2
1.0
2.191 -7.983 0.000
2.191 7.983 0.000
0.000 0.000 4.355
Y Cd Ga
1 4 2
Direct
0.000 0.000 0.000 Y
0.177 0.823 0.500 Cd
0.318 0.682 0.000 Cd
0.682 0.318 0.000 Cd
0.823 0.177 0.500 Cd
0.425 0.575 0.500 Ga
0.575 0.425 0.500 Ga
```

Calculated values
The calculation puts the calculated formation energy at -0.211 eV per atom. Its space group is Cmmm. The density of states at the Fermi level is 2.70 states/eV/f.u. The calculation puts the volume at 152.3 Å³ per cell.

***

[6]
DFT (PBE) results for a relaxed structure of YCdGa2.

Cell and atoms, written as POSCAR:
```
YCdGa2
1.0
7.784 0.000 0.000
0.000 4.177 0.000
0.000 0.000 10.606
Y Cd Ga
4 4 8
Direct
0.142 0.250 0.138 Y
0.358 0.750 0.638 Y
0.642 0.250 0.362 Y
0.858 0.750 0.862 Y
0.006 0.750 0.390 Cd
0.494 0.250 0.890 Cd
0.506 0.750 0.110 Cd
0.994 0.250 0.610 Cd
0.142 0.250 0.833 Ga
0.239 0.750 0.942 Ga
0.261 0.250 0.442 Ga
0.358 0.750 0.333 Ga
0.642 0.250 0.667 Ga
0.739 0.750 0.558 Ga
0.761 0.250 0.058 Ga
0.858 0.750 0.167 Ga
```

Calculated values
The calculation puts the calculated formation energy at -0.435 eV per atom. Its space group is Pnma. The density of states at the Fermi level is 1.62 states/eV/f.u. The calculation puts the volume at 344.9 Å³ per cell.

***

[7]
DFT (PBE) results for a relaxed structure of YCdGa.

Cell and atoms, written as POSCAR:
```
YCdGa
1.0
-2.323 3.607 4.073
2.323 -3.607 4.073
2.323 3.607 -4.073
Y Cd Ga
2 2 2
Direct
0.000 0.000 0.000 Y
0.513 0.013 0.500 Y
0.116 0.337 0.779 Cd
0.558 0.337 0.221 Cd
0.455 0.674 0.781 Ga
0.893 0.674 0.219 Ga
```

Calculated values
The calculation puts the calculated formation energy at -0.472 eV per atom. Its space group is Imm2. The density of states at the Fermi level is 1.54 states/eV/f.u. The calculation puts the volume at 136.5 Å³ per cell.

***

[8]
DFT (PBE) results for a relaxed structure of Y4Cd5Ga2.

Cell and atoms, written as POSCAR:
```
Y4Cd5Ga2
1.0
7.649 0.000 0.000
0.000 3.791 0.000
-0.502 0.000 9.377
Y Cd Ga
4 5 2
Direct
0.179 0.000 0.361 Y
0.247 0.000 0.931 Y
0.753 0.000 0.069 Y
0.821 0.000 0.639 Y
0.171 0.500 0.644 Cd
0.445 0.500 0.181 Cd
0.500 0.500 0.500 Cd
0.555 0.500 0.819 Cd
0.829 0.500 0.356 Cd
0.062 0.500 0.129 Ga
0.938 0.500 0.871 Ga
```

Calculated values
The calculation puts the calculated formation energy at -0.384 eV per atom. Its space group is P2/m. The density of states at the Fermi level is 6.90 states/eV/f.u. The calculation puts the volume at 271.9 Å³ per cell.

***

[9]
DFT (PBE) results for a relaxed structure of YCd2Ga2.

Cell and atoms, written as POSCAR:
```
YCd2Ga2
1.0
8.153 0.000 0.000
0.000 8.153 0.000
0.000 0.000 3.353
Y Cd Ga
2 4 4
Direct
0.000 0.000 0.000 Y
0.500 0.500 0.000 Y
0.124 0.376 0.000 Cd
0.376 0.876 0.000 Cd
0.624 0.124 0.000 Cd
0.876 0.624 0.000 Cd
0.179 0.679 0.500 Ga
0.321 0.179 0.500 Ga
0.679 0.821 0.500 Ga
0.821 0.321 0.500 Ga
```

Calculated values
The calculation puts the calculated formation energy at -0.117 eV per atom. Its space group is P4/mbm. The density of states at the Fermi level is 3.23 states/eV/f.u. The calculation puts the volume at 222.9 Å³ per cell.

***

[10]
DFT (PBE) results for a relaxed structure of YCdGa.

Cell and atoms, written as POSCAR:
```
YCdGa
1.0
4.787 0.000 0.000
0.000 4.035 0.000
-2.379 0.000 7.161
Y Cd Ga
2 2 2
Direct
0.000 0.000 0.000 Y
0.311 0.000 0.624 Y
0.653 0.000 0.307 Cd
0.820 0.500 0.642 Cd
0.155 0.500 0.312 Ga
0.484 0.500 0.970 Ga
```

Calculated values
The calculation puts the calculated formation energy at -0.382 eV per atom. Its space group is Pm. The density of states at the Fermi level is 1.85 states/eV/f.u. The calculation puts the volume at 138.3 Å³ per cell.

***

[11]
DFT (PBE) results for a relaxed structure of YCdGa.

Cell and atoms, written as POSCAR:
```
YCdGa
1.0
6.225 -2.084 0.000
6.225 2.084 0.000
-0.982 0.000 5.378
Y Cd Ga
2 2 2
Direct
0.125 0.125 0.314 Y
0.875 0.875 0.686 Y
0.427 0.427 0.212 Cd
0.573 0.573 0.788 Cd
0.229 0.229 0.837 Ga
0.771 0.771 0.163 Ga
```

Calculated values
The calculation puts the calculated formation energy at -0.433 eV per atom. Its space group is C2/m. The density of states at the Fermi level is 1.13 states/eV/f.u. The calculation puts the volume at 139.5 Å³ per cell.

***

[12]
DFT (PBE) results for a relaxed structure of YCdGa.

Cell and atoms, written as POSCAR:
```
YCdGa
1.0
0.000 3.334 3.334
3.334 0.000 3.334
3.334 3.334 0.000
Y Cd Ga
1 1 1
Direct
0.000 0.000 0.000 Y
0.500 0.500 0.500 Cd
0.250 0.250 0.250 Ga
```

Calculated values
The calculation puts the calculated formation energy at -0.417 eV per atom. Its space group is F-43m. The density of states at the Fermi level is 0.05 states/eV/f.u. The calculation puts the volume at 74.1 Å³ per cell.